A geometry-optimized TbErCuPd structure. Source: Alexandria via LeMat-Bulk, functional PBE.

CIF file:
```
data_TbErCuPd
_cell_length_a 4.9296
_cell_length_b 4.9296
_cell_length_c 4.9296
_cell_angle_alpha 60.00
_cell_angle_beta 60.00
_cell_angle_gamma 60.00
_space_group_name_H-M_alt 'P 1'
_space_group_IT_number 1
loop_
_space_group_symop_operation_xyz
'x,y,z'
loop_
_atom_site_label
_atom_site_type_symbol
_atom_site_fract_x
_atom_site_fract_y
_atom_site_fract_z
_atom_site_occupancy
Tb1 Tb 0.0000 0.0000 0.0000 1
Pd1 Pd 0.7500 0.7500 0.7500 1
Er1 Er 0.5000 0.5000 0.5000 1
Cu1 Cu 0.2500 0.2500 0.2500 1
```

Output
* total DFT energy (no corrections): -20.78 eV/cell
* N(E_F): 2.83 states/eV/f.u.
* energy relative to the elements: -0.57 eV/atom
* total moment: 0.00 μB/f.u.
* symmetry: F-43m (216)